First-principles (PBE) data for BaYO2 after structural relaxation, as listed in Alexandria.

Cell and atoms, written as extended XYZ:
```
4
Lattice="-2.970 -0.200 -1.895 -1.474 -3.141 -0.643 -5.081 -0.568 4.737" Properties=species:S:1:pos:R:3 pbc="T T T"
Ba -4.817 -1.947 1.184
Y -8.025 -2.799 3.016
O -4.426 -0.668 3.721
O -2.100 -1.020 0.113
```

Fermi-level density of states: 1.2 states/eV/f.u.
E: -7.201 eV/atom
Raw formation energy: -2625.5 meV per atom

---

First-principles (PBE) data for Hf6IrPb after structural relaxation, as listed in Alexandria.

Cell and atoms, written as extended XYZ:
```
8
Lattice="-1.234 4.145 4.239 -4.760 -3.708 -0.515 4.771 -3.283 1.885" Properties=species:S:1:pos:R:3 pbc="T T T"
Hf 1.931 -2.231 2.253
Hf -0.876 1.254 3.378
Hf -3.155 -0.615 3.357
Hf 1.317 -0.394 4.475
Hf -0.348 -4.101 2.231
Hf -2.540 -2.452 1.134
Ir -0.612 -1.423 2.805
Pb 0.000 0.000 0.000
```

Fermi-level density of states: 7.5 states/eV/f.u.
E: -9.012 eV/atom
ΔE_f: 2.3 kJ/mol of atoms

---

First-principles (PBE) data for Ba2AsP after structural relaxation, as listed in Alexandria.

Cell and atoms, written as extended XYZ:
```
4
Lattice="3.661 -2.262 -3.650 0.909 -5.569 0.002 -1.873 -3.166 -4.279" Properties=species:S:1:pos:R:3 pbc="T T T"
P 0.000 0.000 0.000
As 1.348 -5.499 -3.964
Ba 0.674 -2.749 -1.982
Ba 2.023 -8.248 -5.945
```

Fermi-level density of states: 4.9 states/eV/f.u.
E: -4.164 eV/atom
ΔE_f: -66.3 kJ/mol of atoms

---

Copy entry 2 word for word.
First-principles (PBE) data for Hf6IrPb after structural relaxation, as listed in Alexandria.

Cell and atoms, written as extended XYZ:
```
8
Lattice="-1.234 4.145 4.239 -4.760 -3.708 -0.515 4.771 -3.283 1.885" Properties=species:S:1:pos:R:3 pbc="T T T"
Hf 1.931 -2.231 2.253
Hf -0.876 1.254 3.378
Hf -3.155 -0.615 3.357
Hf 1.317 -0.394 4.475
Hf -0.348 -4.101 2.231
Hf -2.540 -2.452 1.134
Ir -0.612 -1.423 2.805
Pb 0.000 0.000 0.000
```

Fermi-level density of states: 7.5 states/eV/f.u.
E: -9.012 eV/atom
ΔE_f: 2.3 kJ/mol of atoms

---

Copy entry 1 word for word.
First-principles (PBE) data for BaYO2 after structural relaxation, as listed in Alexandria.

Cell and atoms, written as extended XYZ:
```
4
Lattice="-2.970 -0.200 -1.895 -1.474 -3.141 -0.643 -5.081 -0.568 4.737" Properties=species:S:1:pos:R:3 pbc="T T T"
Ba -4.817 -1.947 1.184
Y -8.025 -2.799 3.016
O -4.426 -0.668 3.721
O -2.100 -1.020 0.113
```

Fermi-level density of states: 1.2 states/eV/f.u.
E: -7.201 eV/atom
Raw formation energy: -2625.5 meV per atom